Record 1
Entry from the Alexandria database: an optimized crystal structure of BeReP2 (PBE-GGA).

```
BeReP2
1.0
3.865 -1.502 0.000
3.865 1.502 0.000
-0.289 0.000 4.393
Be Re P
1 1 2
Direct
0.000 0.000 0.000
0.500 0.500 0.500
0.223 0.223 0.743
0.777 0.777 0.257
```

Computed properties:
- DOS at the Fermi energy: 0.36 states/eV/atom
- Energy above the most stable polymorph in this dataset: 0.062 eV per atom
- Calculated formation energy: 30 meV/atom
- Symmetry: No. 12
- Mass density: 8.37 g cm⁻³

=====

Record 2
Entry from the Alexandria database: an optimized crystal structure of BeReP2 (PBE-GGA).

```
BeReP2
1.0
3.887 -1.524 0.000
3.887 1.524 0.000
-1.756 0.000 5.538
Be Re P
1 1 2
Direct
0.000 0.000 0.000
0.229 0.229 0.810
0.484 0.484 0.665
0.780 0.780 0.146
```

Computed properties:
- DOS at the Fermi energy: 0.61 states/eV/atom
- Energy above the most stable polymorph in this dataset: 0.078 eV per atom
- Calculated formation energy: 46 meV/atom
- Symmetry: No. 8
- Mass density: 6.51 g cm⁻³

=====

Record 3
Entry from the Alexandria database: an optimized crystal structure of BeReP2 (PBE-GGA).

```
BeReP2
1.0
3.038 0.000 0.000
0.000 3.038 0.000
0.000 0.000 6.726
Be Re P
1 1 2
Direct
0.000 0.000 0.000
0.500 0.500 0.800
0.000 0.000 0.624
0.500 0.500 0.154
```

Computed properties:
- DOS at the Fermi energy: 0.70 states/eV/atom
- Energy above the most stable polymorph in this dataset: 0.120 eV per atom
- Calculated formation energy: 88 meV/atom
- Symmetry: No. 99
- Mass density: 6.88 g cm⁻³